(1)
VASP calculation (PBE) on an optimized crystal structure of Y5Zn2Te2.

```
data_Y5Zn2Te2
_chemical_formula_sum 'Y20 Zn8 Te8'
_space_group_name_H-M_alt 'C m c e'
_space_group_IT_number 64
_space_group_name_Hall '-C 2ac 2'
_cell_length_a 15.491
_cell_length_b 7.945
_cell_length_c 7.870
_cell_angle_alpha 90.00
_cell_angle_beta 90.00
_cell_angle_gamma 90.00
loop_
_atom_site_label
_atom_site_type_symbol
_atom_site_fract_x
_atom_site_fract_y
_atom_site_fract_z
_atom_site_occupancy
Y1 Y 0.000 0.000 0.000 1
Y2 Y 0.128 0.167 0.335 1
Zn1 Zn 0.000 0.127 0.624 1
Te1 Te 0.205 0.000 0.000 1
```

Properties
The calculation puts the total energy at -5.338 eV per atom. The crystal system is orthorhombic. Its total moment is 0.0 Bohr magnetons per cell. The density comes out at 5.7 g cm⁻³. For the volume, the calculation gives 26.91 A^3/atom. As for the uncorrected formation energy: -0.765 eV per atom.

(2)
VASP calculation (PBE) on an optimized crystal structure of DyEr3In.

```
data_DyEr3In
_chemical_formula_sum 'Dy4 Er12 In4'
_space_group_name_H-M_alt 'C 1 2/m 1'
_space_group_IT_number 12
_cell_length_a 16.543
_cell_length_b 5.157
_cell_length_c 6.827
_cell_angle_alpha 90.00
_cell_angle_beta 90.52
_cell_angle_gamma 90.00
loop_
_space_group_symop_operation_xyz
'x,y,z'
'-x,-y,-z'
'-x,y,-z'
'x,-y,z'
'x+1/2,y+1/2,z'
'-x+1/2,-y+1/2,-z'
'-x+1/2,y+1/2,-z'
'x+1/2,-y+1/2,z'
loop_
_atom_site_label
_atom_site_type_symbol
_atom_site_fract_x
_atom_site_fract_y
_atom_site_fract_z
_atom_site_occupancy
Dy1 Dy 0.109 0.000 0.494 1
Er1 Er 0.004 0.500 0.751 1
Er2 Er 0.110 0.000 0.002 1
Er3 Er 0.203 0.500 0.250 1
In1 In 0.197 0.500 0.752 1
```

Properties
The calculation puts the total energy at -4.389 eV per atom. The crystal system is monoclinic. As for the calculated formation energy: -0.18 eV per atom. Its total moment is 0.0 Bohr magnetons per cell. The density comes out at 8.9 g cm⁻³. As for the energy above the most stable polymorph in this dataset: 0.000 kcal/mol of atoms. For the volume, the calculation gives 29.12 A^3/atom.

(3)
VASP calculation (PBE) on an optimized crystal structure of Mg6CoBi.

```
data_Mg6CoBi
_chemical_formula_sum 'Mg12 Co2 Bi2'
_space_group_name_H-M_alt 'A m m 2'
_space_group_IT_number 38
_cell_length_a 4.861
_cell_length_b 6.445
_cell_length_c 10.861
_cell_angle_alpha 90.00
_cell_angle_beta 90.00
_cell_angle_gamma 90.00
loop_
_space_group_symop_operation_xyz
'x,y,z'
'-x,-y,z'
'-x,y,z'
'x,-y,z'
'x,y+1/2,z+1/2'
'-x,-y+1/2,z+1/2'
'-x,y+1/2,z+1/2'
'x,-y+1/2,z+1/2'
loop_
_atom_site_label
_atom_site_type_symbol
_atom_site_fract_x
_atom_site_fract_y
_atom_site_fract_z
_atom_site_occupancy
Mg1 Mg 0.000 0.000 0.000 1
Mg2 Mg 0.000 0.000 0.484 1
Mg3 Mg 0.000 0.224 0.246 1
Mg4 Mg 0.500 0.247 0.573 1
Co1 Co 0.500 0.000 0.322 1
Bi1 Bi 0.500 0.000 0.824 1
```

Properties
The calculation puts the total energy at -2.470 eV per atom. The crystal system is orthorhombic. As for the calculated formation energy: 0.10 eV per atom. Its total moment is 1.6 Bohr magnetons per cell. The density comes out at 4.0 g cm⁻³. As for the energy above the most stable polymorph in this dataset: 0.311 kcal/mol of atoms. For the volume, the calculation gives 21.27 A^3/atom.

(4)
VASP calculation (PBE) on an optimized crystal structure of Zr2MnAu.

```
data_Zr2MnAu
_chemical_formula_sum 'Zr2 Mn1 Au1'
_space_group_name_H-M_alt 'P 1 2/m 1'
_space_group_IT_number 10
_cell_length_a 3.194
_cell_length_b 3.173
_cell_length_c 7.215
_cell_angle_alpha 90.00
_cell_angle_beta 90.14
_cell_angle_gamma 90.00
loop_
_space_group_symop_operation_xyz
'x,y,z'
'-x,-y,-z'
'-x,y,-z'
'x,-y,z'
loop_
_atom_site_label
_atom_site_type_symbol
_atom_site_fract_x
_atom_site_fract_y
_atom_site_fract_z
_atom_site_occupancy
Zr1 Zr 0.001 0.000 0.283 1
Mn1 Mn 0.500 0.500 0.500 1
Au1 Au 0.500 0.500 0.000 1
```

Properties
The calculation puts the total energy at -7.686 eV per atom. The crystal system is monoclinic. As for the calculated formation energy: -0.30 eV per atom. Its total moment is 0.0 Bohr magnetons per cell. The density comes out at 9.9 g cm⁻³. As for the energy above the most stable polymorph in this dataset: 0.000 kcal/mol of atoms. For the volume, the calculation gives 18.28 A^3/atom.

(5)
VASP calculation (PBE) on an optimized crystal structure of CaTe2O.

```
data_CaTe2O
_chemical_formula_sum 'Ca3 Te6 O3'
_space_group_name_H-M_alt 'R -3 m'
_space_group_IT_number 166
_space_group_name_Hall '-R 3 2"'
_cell_length_a 3.4811
_cell_length_b 3.4811
_cell_length_c 28.6938
_cell_angle_alpha 90.00
_cell_angle_beta 90.00
_cell_angle_gamma 120.00
loop_
_atom_site_label
_atom_site_type_symbol
_atom_site_fract_x
_atom_site_fract_y
_atom_site_fract_z
_atom_site_occupancy
Ca1 Ca 0.0000 0.0000 0.0000 1
Te1 Te 0.0000 0.0000 0.1080 1
O1 O 0.0000 0.0000 0.5000 1
```

Properties
The calculation puts the total energy at -3.116 eV per atom. The crystal system is trigonal. Its total moment is 0.0 Bohr magnetons per cell. The density comes out at 5.1 g cm⁻³. For the volume, the calculation gives 25.09 A^3/atom. As for the uncorrected formation energy: 0.195 eV per atom.

(6)
VASP calculation (PBE) on an optimized crystal structure of MnSeS.

```
data_MnSeS
_chemical_formula_sum 'Mn2 Se2 S2'
_space_group_name_H-M_alt 'C 1 m 1'
_space_group_IT_number 8
_cell_length_a 5.884
_cell_length_b 3.399
_cell_length_c 6.780
_cell_angle_alpha 90.00
_cell_angle_beta 102.24
_cell_angle_gamma 90.00
loop_
_space_group_symop_operation_xyz
'x,y,z'
'x,-y,z'
'x+1/2,y+1/2,z'
'x+1/2,-y+1/2,z'
loop_
_atom_site_label
_atom_site_type_symbol
_atom_site_fract_x
_atom_site_fract_y
_atom_site_fract_z
_atom_site_occupancy
Mn1 Mn 0.000 0.000 0.000 1
Se1 Se 0.278 0.000 0.772 1
S1 S 0.213 0.500 0.191 1
```

Properties
The calculation puts the total energy at -6.101 eV per atom. The crystal system is monoclinic. Its total moment is 5.7 Bohr magnetons per cell. The density comes out at 4.2 g cm⁻³. As for the energy above the most stable polymorph in this dataset: 0.015 kcal/mol of atoms. For the volume, the calculation gives 22.08 A^3/atom. As for the uncorrected formation energy: -0.508 eV per atom.

(7)
VASP calculation (PBE) on an optimized crystal structure of Rb4Dy3TiO8.

```
data_Rb4Dy3TiO8
_chemical_formula_sum 'Rb12 Dy9 Ti3 O24'
_space_group_name_H-M_alt 'R -3 m'
_space_group_IT_number 166
_space_group_name_Hall '-R 3 2"'
_cell_length_a 6.8771
_cell_length_b 6.8771
_cell_length_c 19.5139
_cell_angle_alpha 90.00
_cell_angle_beta 90.00
_cell_angle_gamma 120.00
loop_
_atom_site_label
_atom_site_type_symbol
_atom_site_fract_x
_atom_site_fract_y
_atom_site_fract_z
_atom_site_occupancy
Rb1 Rb 0.0000 0.0000 0.0000 1
Rb2 Rb 0.0000 0.5000 0.0000 1
Dy1 Dy 0.0000 0.5000 0.5000 1
Ti1 Ti 0.0000 0.0000 0.5000 1
O1 O 0.0000 0.0000 0.2259 1
O2 O 0.0170 0.5085 0.2231 1
```

Properties
The calculation puts the total energy at -6.608 eV per atom. The crystal system is trigonal. Its total moment is 2.9 Bohr magnetons per cell. The density comes out at 6.3 g cm⁻³. For the volume, the calculation gives 16.65 A^3/atom. As for the uncorrected formation energy: -2.530 eV per atom.

(8)
VASP calculation (PBE) on an optimized crystal structure of Ba2HfZn.

```
data_Ba2HfZn
_chemical_formula_sum 'Ba8 Hf4 Zn4'
_space_group_name_H-M_alt 'F m -3 m'
_space_group_IT_number 225
_space_group_name_Hall '-F 4 2 3'
_cell_length_a 8.179
_cell_length_b 8.179
_cell_length_c 8.179
_cell_angle_alpha 90.00
_cell_angle_beta 90.00
_cell_angle_gamma 90.00
loop_
_atom_site_label
_atom_site_type_symbol
_atom_site_fract_x
_atom_site_fract_y
_atom_site_fract_z
_atom_site_occupancy
Ba1 Ba 0.250 0.250 0.250 1
Hf1 Hf 0.000 0.000 0.000 1
Zn1 Zn 0.000 0.000 0.500 1
```

Properties
The calculation puts the total energy at -3.157 eV per atom. The crystal system is cubic. As for the calculated formation energy: 0.61 eV per atom. Its total moment is 0.0 Bohr magnetons per cell. The density comes out at 6.3 g cm⁻³. As for the energy above the most stable polymorph in this dataset: 0.000 kcal/mol of atoms. For the volume, the calculation gives 34.19 A^3/atom.

(9)
VASP calculation (PBE) on an optimized crystal structure of BaBiB3.

```
data_BaBiB3
_chemical_formula_sum 'Ba1 Bi1 B3'
_space_group_name_H-M_alt 'P m -3 m'
_space_group_IT_number 221
_space_group_name_Hall '-P 4 2 3'
_cell_length_a 4.961
_cell_length_b 4.961
_cell_length_c 4.961
_cell_angle_alpha 90.00
_cell_angle_beta 90.00
_cell_angle_gamma 90.00
loop_
_atom_site_label
_atom_site_type_symbol
_atom_site_fract_x
_atom_site_fract_y
_atom_site_fract_z
_atom_site_occupancy
Ba1 Ba 0.000 0.000 0.000 1
Bi1 Bi 0.500 0.500 0.500 1
B1 B 0.000 0.000 0.500 1
```

Properties
The calculation puts the total energy at -2.595 eV per atom. The crystal system is cubic. As for the calculated formation energy: 2.57 eV per atom. Its total moment is 0.0 Bohr magnetons per cell. The density comes out at 5.2 g cm⁻³. As for the energy above the most stable polymorph in this dataset: 19.969 kcal/mol of atoms. For the volume, the calculation gives 24.42 A^3/atom.

(10)
VASP calculation (PBE) on an optimized crystal structure of CrMoN.

```
data_CrMoN
_chemical_formula_sum 'Cr4 Mo4 N4'
_space_group_name_H-M_alt 'I m m a'
_space_group_IT_number 74
_space_group_name_Hall '-I 2b 2'
_cell_length_a 5.155
_cell_length_b 5.541
_cell_length_c 4.897
_cell_angle_alpha 90.00
_cell_angle_beta 90.00
_cell_angle_gamma 90.00
loop_
_atom_site_label
_atom_site_type_symbol
_atom_site_fract_x
_atom_site_fract_y
_atom_site_fract_z
_atom_site_occupancy
Cr1 Cr 0.000 0.000 0.000 1
Mo1 Mo 0.000 0.250 0.458 1
N1 N 0.250 0.250 0.750 1
```

Properties
The calculation puts the total energy at -9.371 eV per atom. The crystal system is orthorhombic. Its total moment is 4.4 Bohr magnetons per cell. The density comes out at 7.7 g cm⁻³. As for the energy above the most stable polymorph in this dataset: 9.029 kcal/mol of atoms. For the volume, the calculation gives 11.65 A^3/atom. As for the uncorrected formation energy: 0.222 eV per atom.

- total moment of number 5 (CaTe2O)?
  0.0 Bohr magnetons per cell

- density of number 4 (Zr2MnAu)?
  9.9 g cm⁻³

- total moment of number 8 (Ba2HfZn)?
  0.0 Bohr magnetons per cell

- Look up the total moment of the ninth one.
  0.0 Bohr magnetons per cell